Co2Ni5Rh4 | GGA-PBE | relaxed

Results
For the formation energy, the calculation gives 52 meV per atom. The mass density is 10.05 g cm⁻³. As for the space-group type: P-1, No. 2.

Cell lengths 2.6220, 13.8012, 6.8566 Å; angles 143.56, 112.59, 73.40 degrees
With the nearest neighbours (Å) after each atom.
Sites, in units of the cell vectors:
Co (0.5913, 0.5461, 0.9098)  5 Ni 2.51-2.63, 3 Rh 2.54-2.56, 4 Co 2.59-2.62
Co (0.4087, 0.4539, 0.0902)  5 Ni 2.51-2.63, 3 Rh 2.54-2.56, 4 Co 2.59-2.62
Ni (0.1375, 0.8117, 0.3553)  2 Co 2.54, 6 Rh 2.56-2.66, 4 Ni 2.57-2.63
Ni (0.8625, 0.1883, 0.6447)  2 Co 2.54, 6 Rh 2.56-2.66, 4 Ni 2.57-2.63
Ni (0.2188, 0.3698, 0.2734)  5 Ni 2.51-2.62, 3 Co 2.51-2.63, 4 Rh 2.61-2.63
Ni (0.5000, 0.0000, 0.0000)  8 Rh 2.59-2.65, 4 Ni 2.62-2.63
Ni (0.7812, 0.6302, 0.7266)  5 Ni 2.51-2.62, 3 Co 2.51-2.63, 4 Rh 2.61-2.63
Rh (0.9509, 0.7194, 0.5311)  3 Co 2.54-2.56, 6 Ni 2.56-2.65, 3 Rh 2.62-2.65
Rh (0.3187, 0.9064, 0.1786)  8 Ni 2.59-2.66, 4 Rh 2.62-2.65
Rh (0.0491, 0.2806, 0.4689)  3 Co 2.54-2.56, 6 Ni 2.56-2.65, 3 Rh 2.62-2.65
Rh (0.6813, 0.0936, 0.8214)  8 Ni 2.59-2.66, 4 Rh 2.62-2.65

=====

Dy2Cu3Pt | GGA-PBE | relaxed

Results
For the formation energy, the calculation gives -525 meV per atom. The calculation puts the offset from the most stable computed form at 0.0044 eV/atom. The mass density is 10.38 g cm⁻³. As for the space-group type: Pmm2, No. 25.

Cell lengths 3.5590, 4.3201, 7.3971 Å; angles 90.00, 90.00, 90.00 degrees
With the nearest neighbours (Å) after each atom.
Sites, in units of the cell vectors:
Dy (0.0000, 0.5000, 0.0090)  10 Cu 3.00-3.10, 2 Pt 3.00
Dy (0.0000, 0.0000, 0.4923)  4 Pt 3.03, 8 Cu 3.06-3.12
Cu (0.5000, 0.0000, 0.8287)  3 Cu 2.41-2.42
Cu (0.5000, 0.0000, 0.1539)  1 Cu 2.41, 2 Pt 2.55
Cu (0.5000, 0.5000, 0.6802)  2 Cu 2.42, 1 Pt 2.55
Pt (0.5000, 0.5000, 0.3360)  3 Cu 2.55

=====

FeNiHg2 | GGA-PBE | relaxed

Results
For the formation energy, the calculation gives 252 meV per atom. The calculation puts the offset from the most stable computed form at 0.0000 eV/atom. The mass density is 12.57 g cm⁻³. As for the space-group type: P4mm, No. 99.

Cell lengths 3.0194, 3.0190, 7.4737 Å; angles 90.00, 90.00, 90.00 degrees
With the nearest neighbours (Å) after each atom.
Sites, in units of the cell vectors:
Fe (0.5000, 0.5000, 0.7024)  4 Ni 2.45
Hg (0.0000, 0.0000, 0.9594)  4 Fe 2.87, 4 Hg 3.02, 1 Ni 3.12
Hg (0.5000, 0.5000, 0.2966)  4 Ni 2.81, 4 Hg 3.02, 1 Fe 3.03
Ni (0.0000, 0.0000, 0.5417)  4 Fe 2.45

=====

MnTlSi2 | GGA-PBE | relaxed

Results
The calculation puts the offset from the most stable computed form at 0.5761 eV/atom. The mass density is 6.96 g cm⁻³. As for the uncorrected formation energy: 0.708 eV/atom. As for the space-group type: F-43m, No. 216.

Cell lengths 4.7385, 4.7385, 4.7385 Å; angles 60.00, 60.00, 60.00 degrees
With the nearest neighbours (Å) after each atom.
Sites, in units of the cell vectors:
Mn (0.5000, 0.5000, 0.5000)  4 Si 2.90, 4 Tl 2.90
Si (0.0000, 0.0000, 0.0000)  4 Tl 2.90, 4 Si 2.90
Si (0.2500, 0.2500, 0.2500)  4 Mn 2.90, 4 Si 2.90
Tl (0.7500, 0.7500, 0.7500)  4 Si 2.90, 4 Mn 2.90

=====

Li2TePd4 | GGA-PBE | relaxed

Results
The calculation puts the offset from the most stable computed form at 0.0000 eV/atom. The mass density is 8.16 g cm⁻³. As for the uncorrected formation energy: -0.385 eV/atom. As for the space-group type: I4/mmm, No. 139.

Cell lengths 5.3159, 5.3159, 5.3159 Å; angles 112.72, 107.87, 107.87 degrees
With the nearest neighbours (Å) after each atom.
Sites, in units of the cell vectors:
Li (0.5000, 0.5000, 0.0000)  8 Pd 2.66, 2 Li 2.94
Li (0.5000, 0.0000, 0.5000)  8 Pd 2.66, 2 Li 2.94
Te (0.0000, 0.0000, 0.0000)  8 Pd 2.66
Pd (0.5000, 0.0000, 0.0000)  4 Li 2.66, 2 Te 2.66, 2 Pd 2.94
Pd (0.5000, 0.5000, 0.5000)  4 Li 2.66, 2 Te 2.66, 2 Pd 2.94
Pd (0.0000, 0.0000, 0.5000)  4 Li 2.66, 2 Te 2.66, 2 Pd 2.94
Pd (0.0000, 0.5000, 0.0000)  2 Te 2.66, 4 Li 2.66, 2 Pd 2.94

=====

Mg4ScIn | GGA-PBE | relaxed

Results
For the formation energy, the calculation gives -62 meV per atom. The calculation puts the offset from the most stable computed form at 0.0000 eV/atom. The mass density is 3.11 g cm⁻³. As for the space-group type: P4/mmm, No. 123.

Cell lengths 3.5737, 3.5737, 10.7579 Å; angles 90.00, 90.00, 90.00 degrees
With the nearest neighbours (Å) after each atom.
Sites, in units of the cell vectors:
Mg (0.5000, 0.5000, 0.8285)  4 Mg 3.08, 4 Sc 3.13
Mg (0.5000, 0.5000, 0.1715)  4 Mg 3.08, 4 Sc 3.13
Mg (0.0000, 0.0000, 0.3344)  4 Mg 3.08, 4 In 3.09
Mg (0.0000, 0.0000, 0.6656)  4 Mg 3.08, 4 In 3.09
Sc (0.0000, 0.0000, 0.0000)  8 Mg 3.13
In (0.5000, 0.5000, 0.5000)  8 Mg 3.09

=====

Ce2MnGa4Pt3 | GGA-PBE | relaxed

Results
For the formation energy, the calculation gives -790 meV per atom. The mass density is 10.47 g cm⁻³. As for the space-group type: P-4m2, No. 115.

Cell lengths 4.1710, 4.1710, 10.9317 Å; angles 90.00, 90.00, 90.00 degrees
With the nearest neighbours (Å) after each atom.
Sites, in units of the cell vectors:
Ce (0.5000, 0.0000, 0.2463)  6 Pt 3.18-3.47, 8 Ga 3.23-3.41, 2 Mn 3.47
Ce (0.0000, 0.5000, 0.7537)  6 Pt 3.18-3.47, 8 Ga 3.23-3.41, 2 Mn 3.47
Mn (0.5000, 0.5000, 0.5000)  4 Ga 2.55
Ga (0.5000, 0.5000, 0.0000)  4 Pt 2.57
Ga (0.0000, 0.0000, 0.0000)  4 Pt 2.57
Ga (0.5000, 0.0000, 0.6341)  3 Pt 2.50-2.55, 2 Mn 2.55
Ga (0.0000, 0.5000, 0.3659)  3 Pt 2.50-2.55, 2 Mn 2.55
Pt (0.0000, 0.0000, 0.5000)  4 Ga 2.55
Pt (0.5000, 0.0000, 0.8625)  5 Ga 2.50-2.57
Pt (0.0000, 0.5000, 0.1375)  5 Ga 2.50-2.57

=====

Nd4Th3ScS8 | GGA-PBE | relaxed

Results
The mass density is 7.12 g cm⁻³. As for the uncorrected formation energy: -1.910 eV/atom. As for the space-group type: R-3m, No. 166.

Cell lengths 8.0219, 8.0563, 8.0218 Å; angles 119.86, 120.00, 90.00 degrees
With the nearest neighbours (Å) after each atom.
Sites, in units of the cell vectors:
Nd (0.5000, 0.0000, 0.0000)  6 S 2.96
Nd (0.5000, 0.0000, 0.5000)  6 S 2.84-2.85
Nd (0.0000, 0.0000, 0.0000)  6 S 2.84-2.85
Nd (0.0000, 0.0000, 0.5000)  6 S 2.84-2.85
Th (0.5000, 0.5000, 0.0000)  6 S 2.84
Th (0.5000, 0.5000, 0.5000)  6 S 2.84
Th (0.0000, 0.5000, 0.5000)  6 S 2.84
Sc (0.0000, 0.5000, 0.0000)  6 S 2.72
S (0.2397, 0.7390, 0.9994)  1 Sc 2.72, 2 Th 2.84, 3 Nd 2.85-2.96
S (0.2397, 0.7390, 0.4794)  1 Sc 2.72, 2 Th 2.84, 3 Nd 2.85-2.96
S (0.2498, 0.2493, 0.4995)  3 Nd 2.84, 3 Th 2.84
S (0.7597, 0.7390, 0.9994)  1 Sc 2.72, 2 Th 2.84, 3 Nd 2.85-2.96
S (0.2403, 0.2610, 0.0006)  1 Sc 2.72, 2 Th 2.84, 3 Nd 2.85-2.96
S (0.7502, 0.7507, 0.5005)  3 Nd 2.84, 3 Th 2.84
S (0.7603, 0.2610, 0.5206)  1 Sc 2.72, 2 Th 2.84, 3 Nd 2.85-2.96
S (0.7603, 0.2610, 0.0006)  1 Sc 2.72, 2 Th 2.84, 3 Nd 2.85-2.96

=====

PaAlHg2 | GGA-PBE | relaxed

Results
For the formation energy, the calculation gives 128 meV per atom. The calculation puts the offset from the most stable computed form at 0.0786 eV/atom. The mass density is 12.06 g cm⁻³. As for the space-group type: P4/mmm, No. 123.

Cell lengths 3.5134, 3.5134, 7.3509 Å; angles 90.00, 90.00, 90.00 degrees
With the nearest neighbours (Å) after each atom.
Sites, in units of the cell vectors:
Pa (0.5000, 0.5000, 0.5000)  8 Hg 3.24, 4 Pa 3.51
Hg (0.0000, 0.0000, 0.7822)  4 Al 2.96, 1 Hg 3.20, 4 Pa 3.24
Hg (0.0000, 0.0000, 0.2178)  4 Al 2.96, 1 Hg 3.20, 4 Pa 3.24
Al (0.5000, 0.5000, 0.0000)  8 Hg 2.96

=====

Ba2NaAu | GGA-PBE | relaxed

Results
For the formation energy, the calculation gives -321 meV per atom. The calculation puts the offset from the most stable computed form at 0.0549 eV/atom. The mass density is 4.50 g cm⁻³. As for the space-group type: Ima2, No. 46.

Cell lengths 8.1473, 8.1473, 8.1473 Å; angles 132.15, 103.99, 95.00 degrees
With the nearest neighbours (Å) after each atom.
Sites, in units of the cell vectors:
Ba (0.8797, 0.1312, 0.2484)  2 Au 3.23-3.25
Ba (0.1172, 0.8688, 0.7484)  2 Au 3.23-3.25
Ba (0.1381, 0.5788, 0.0593)  3 Au 3.33-3.38
Ba (0.4805, 0.4212, 0.5593)  3 Au 3.33-3.38
Na (0.6763, 0.8066, 0.3698)  1 Au 3.11
Na (0.5632, 0.1934, 0.8698)  1 Au 3.11
Au (0.1866, 0.1143, 0.5723)  1 Na 3.11, 5 Ba 3.23-3.38
Au (0.4580, 0.8857, 0.0723)  1 Na 3.11, 5 Ba 3.23-3.38

=====

Sn3BCl | GGA-PBE | relaxed

Results
The calculation puts the offset from the most stable computed form at 0.0000 eV/atom. The mass density is 5.36 g cm⁻³. As for the uncorrected formation energy: 0.470 eV/atom. As for the space-group type: Pm-3m, No. 221.

Cell lengths 4.9947, 4.9947, 4.9947 Å; angles 90.00, 90.00, 90.00 degrees
With the nearest neighbours (Å) after each atom.
Sites, in units of the cell vectors:
B (0.0000, 0.0000, 0.0000)  6 Sn 2.50
Sn (0.0000, 0.5000, 0.0000)  2 B 2.50
Sn (0.0000, 0.0000, 0.5000)  2 B 2.50
Sn (0.5000, 0.0000, 0.0000)  2 B 2.50
Cl (0.5000, 0.5000, 0.5000)  12 Sn 3.53

=====

CsIn3Sn | GGA-PBE | relaxed

Results
For the formation energy, the calculation gives 1088 meV per atom. The calculation puts the offset from the most stable computed form at 1.2457 eV/atom. The mass density is 4.01 g cm⁻³. As for the space-group type: Pm-3m, No. 221.

Cell lengths 6.2748, 6.2748, 6.2748 Å; angles 90.00, 90.00, 90.00 degrees
With the nearest neighbours (Å) after each atom.
Sites, in units of the cell vectors:
Cs (0.0000, 0.0000, 0.0000)  6 In 3.14
Sn (0.5000, 0.5000, 0.5000)  12 In 4.44
In (0.0000, 0.5000, 0.0000)  2 Cs 3.14
In (0.0000, 0.0000, 0.5000)  2 Cs 3.14
In (0.5000, 0.0000, 0.0000)  2 Cs 3.14